HfZr2V2 (GGA-PBE, optimized geometry); DFT formation energy = 0.9 eV per formula unit; M_tot = 0.00 μB per formula unit; density of states at the Fermi level = 6.57 states/eV/f.u.
1.0
7.409 0.000 0.000
0.000 7.409 0.000
0.000 0.000 3.557
Hf Zr V
2 4 4
Direct
0.000 0.000 0.000 Hf
0.500 0.500 0.000 Hf
0.178 0.322 0.500 Zr
0.322 0.822 0.500 Zr
0.678 0.178 0.500 Zr
0.822 0.678 0.500 Zr
0.114 0.614 0.000 V
0.386 0.114 0.000 V
0.614 0.886 0.000 V
0.886 0.386 0.000 V

---

Hf2ZrV (GGA-PBE, optimized geometry); excess energy over the best structure of this formula in the dataset = 0.470 eV per atom; DFT formation energy = 2.3 eV per formula unit; M_tot = 1.08 μB per formula unit; density of states at the Fermi level = 5.85 states/eV/f.u.
1.0
-3.797 3.797 2.935
3.797 -3.797 2.935
3.797 3.797 -2.935
Hf Zr V
4 2 2
Direct
0.095 0.625 0.970 Hf
0.375 0.345 0.470 Hf
0.655 0.125 0.030 Hf
0.875 0.905 0.530 Hf
0.250 0.750 0.500 Zr
0.500 0.500 0.000 Zr
0.000 0.000 0.000 V
0.750 0.250 0.500 V

---

Hf2ZrV (GGA-PBE, optimized geometry); excess energy over the best structure of this formula in the dataset = 0.093 eV per atom; DFT formation energy = 0.8 eV per formula unit; M_tot = 1.45 μB per formula unit; density of states at the Fermi level = 4.46 states/eV/f.u.
1.0
1.581 0.913 9.609
-1.581 0.913 9.609
0.000 -1.825 9.609
Hf Zr V
2 1 1
Direct
0.000 0.000 0.000 Hf
0.183 0.183 0.183 Hf
0.759 0.759 0.759 Zr
0.592 0.592 0.592 V

---

Hf2ZrV (GGA-PBE, optimized geometry); excess energy over the best structure of this formula in the dataset = 0.000 eV per atom; DFT formation energy = 0.5 eV per formula unit; M_tot = 2.29 μB per formula unit; density of states at the Fermi level = 6.43 states/eV/f.u.
1.0
3.312 0.000 0.000
0.000 3.312 0.000
0.000 0.000 7.483
Hf Zr V
2 1 1
Direct
0.000 0.000 0.218 Hf
0.000 0.000 0.782 Hf
0.500 0.500 0.500 Zr
0.500 0.500 0.000 V

---

Hf2ZrV (GGA-PBE, optimized geometry); excess energy over the best structure of this formula in the dataset = 0.098 eV per atom; DFT formation energy = 0.9 eV per formula unit; M_tot = 1.59 μB per formula unit; density of states at the Fermi level = 5.67 states/eV/f.u.
1.0
4.800 0.000 0.000
0.000 4.800 0.000
0.000 0.000 3.573
Hf Zr V
2 1 1
Direct
0.000 0.500 0.000 Hf
0.500 0.000 0.000 Hf
0.000 0.000 0.500 Zr
0.500 0.500 0.500 V

---

Hf2ZrV9 (GGA-PBE, optimized geometry); DFT formation energy = 0.9 eV per formula unit; M_tot = 0.00 μB per formula unit; density of states at the Fermi level = 21.60 states/eV/f.u.
1.0
2.670 1.542 7.833
-2.670 1.542 7.833
0.000 -3.083 7.833
Hf Zr V
2 1 9
Direct
0.145 0.145 0.145 Hf
0.855 0.855 0.855 Hf
0.000 0.000 0.000 Zr
0.078 0.584 0.584 V
0.333 0.333 0.333 V
0.416 0.416 0.922 V
0.416 0.922 0.416 V
0.500 0.500 0.500 V
0.584 0.078 0.584 V
0.584 0.584 0.078 V
0.667 0.667 0.667 V
0.922 0.416 0.416 V

---

HfW (GGA-PBE, optimized geometry); DFT formation energy = 4.4 eV per formula unit; M_tot = 0.00 μB per formula unit; density of states at the Fermi level = 3.87 states/eV/f.u.
1.0
-4.094 4.094 4.094
4.094 -4.094 4.094
4.094 4.094 -4.094
Hf W
4 4
Direct
0.000 0.000 0.590 Hf
0.000 0.590 0.000 Hf
0.410 0.410 0.410 Hf
0.590 0.000 0.000 Hf
0.000 0.000 0.227 W
0.000 0.227 0.000 W
0.227 0.000 0.000 W
0.773 0.773 0.773 W

---

Hf3W (GGA-PBE, optimized geometry); excess energy over the best structure of this formula in the dataset = 0.000 eV per atom; DFT formation energy = 0.9 eV per formula unit; M_tot = 0.00 μB per formula unit; density of states at the Fermi level = 4.21 states/eV/f.u.
1.0
-1.481 4.923 2.817
1.481 -4.923 2.817
1.481 4.923 -2.817
Hf W
3 1
Direct
0.000 0.000 0.000 Hf
0.437 0.681 0.757 Hf
0.924 0.681 0.243 Hf
0.454 0.954 0.500 W

---

HfW (GGA-PBE, optimized geometry); DFT formation energy = 0.6 eV per formula unit; M_tot = 0.00 μB per formula unit; density of states at the Fermi level = 1.99 states/eV/f.u.
1.0
6.849 0.000 0.000
0.000 5.144 0.000
0.000 0.000 8.642
Hf W
8 8
Direct
0.147 0.250 0.009 Hf
0.171 0.750 0.203 Hf
0.329 0.250 0.703 Hf
0.353 0.750 0.509 Hf
0.647 0.250 0.491 Hf
0.671 0.750 0.297 Hf
0.829 0.250 0.797 Hf
0.853 0.750 0.991 Hf
0.000 0.000 0.500 W
0.000 0.500 0.500 W
0.172 0.750 0.803 W
0.328 0.250 0.303 W
0.500 0.000 0.000 W
0.500 0.500 0.000 W
0.672 0.750 0.697 W
0.828 0.250 0.197 W

---

HfW (GGA-PBE, optimized geometry); DFT formation energy = 2.1 eV per formula unit; M_tot = 0.00 μB per formula unit; density of states at the Fermi level = 2.32 states/eV/f.u.
1.0
5.431 0.000 0.000
0.000 5.431 0.000
0.000 0.000 5.588
Hf W
4 4
Direct
0.201 0.201 0.000 Hf
0.299 0.701 0.500 Hf
0.701 0.299 0.500 Hf
0.799 0.799 0.000 Hf
0.188 0.188 0.500 W
0.312 0.688 0.000 W
0.688 0.312 0.000 W
0.812 0.812 0.500 W

---

HfW (GGA-PBE, optimized geometry); DFT formation energy = 3.8 eV per formula unit; M_tot = 0.63 μB per formula unit; density of states at the Fermi level = 3.66 states/eV/f.u.
1.0
4.673 0.000 0.000
-2.337 4.047 0.000
0.000 0.000 5.429
Hf W
2 2
Direct
0.333 0.667 0.250 Hf
0.667 0.333 0.750 Hf
0.333 0.667 0.750 W
0.667 0.333 0.250 W

---

Hf4W (GGA-PBE, optimized geometry); excess energy over the best structure of this formula in the dataset = 0.000 eV per atom; DFT formation energy = 4.7 eV per formula unit; M_tot = 0.00 μB per formula unit; density of states at the Fermi level = 7.17 states/eV/f.u.
1.0
5.022 0.000 0.000
0.000 5.022 0.000
0.000 0.000 5.022
Hf W
4 1
Direct
0.000 0.000 0.000 Hf
0.000 0.500 0.500 Hf
0.500 0.000 0.500 Hf
0.500 0.500 0.000 Hf
0.500 0.500 0.500 W

---

HfW (GGA-PBE, optimized geometry); DFT formation energy = 5.7 eV per formula unit; M_tot = 0.00 μB per formula unit; density of states at the Fermi level = 4.70 states/eV/f.u.
1.0
0.000 3.062 3.062
3.062 0.000 3.062
3.062 3.062 0.000
Hf W
1 1
Direct
0.000 0.000 0.000 Hf
0.750 0.750 0.750 W

---

HfW (GGA-PBE, optimized geometry); DFT formation energy = 2.5 eV per formula unit; M_tot = 0.00 μB per formula unit; density of states at the Fermi level = 2.48 states/eV/f.u.
1.0
0.000 2.762 2.762
2.762 0.000 2.762
2.762 2.762 0.000
Hf W
1 1
Direct
0.000 0.000 0.000 Hf
0.500 0.500 0.500 W

---

HfW (GGA-PBE, optimized geometry); DFT formation energy = 0.3 eV per formula unit; M_tot = 0.00 μB per formula unit; density of states at the Fermi level = 2.07 states/eV/f.u.
1.0
1.663 -2.376 0.000
1.663 2.376 0.000
0.000 0.000 4.645
Hf W
1 1
Direct
0.000 0.000 0.000 Hf
0.500 0.500 0.500 W

---

HfW (GGA-PBE, optimized geometry); DFT formation energy = 1.6 eV per formula unit; M_tot = 0.00 μB per formula unit; density of states at the Fermi level = 2.74 states/eV/f.u.
1.0
9.622 0.000 0.000
-4.811 8.333 0.000
0.000 0.000 3.193
Hf W
6 6
Direct
0.086 0.300 0.250 Hf
0.214 0.914 0.250 Hf
0.300 0.214 0.750 Hf
0.700 0.786 0.250 Hf
0.786 0.086 0.750 Hf
0.914 0.700 0.750 Hf
0.115 0.592 0.250 W
0.408 0.523 0.250 W
0.477 0.885 0.250 W
0.523 0.115 0.750 W
0.592 0.477 0.750 W
0.885 0.408 0.750 W

---

Hf4W (GGA-PBE, optimized geometry); excess energy over the best structure of this formula in the dataset = 0.229 eV per atom; DFT formation energy = 5.9 eV per formula unit; M_tot = 0.00 μB per formula unit; density of states at the Fermi level = 7.46 states/eV/f.u.
1.0
0.000 4.975 4.975
4.975 0.000 4.975
4.975 4.975 0.000
Hf W
8 2
Direct
0.190 0.770 0.770 Hf
0.230 0.230 0.230 Hf
0.230 0.230 0.810 Hf
0.230 0.810 0.230 Hf
0.770 0.190 0.770 Hf
0.770 0.770 0.190 Hf
0.770 0.770 0.770 Hf
0.810 0.230 0.230 Hf
0.375 0.375 0.375 W
0.625 0.625 0.625 W

---

HfW (GGA-PBE, optimized geometry); DFT formation energy = 0.5 eV per formula unit; M_tot = 0.00 μB per formula unit; density of states at the Fermi level = 1.94 states/eV/f.u.
1.0
14.654 0.000 0.000
0.000 2.988 0.000
0.000 0.000 5.183
Hf W
6 6
Direct
0.000 0.223 0.000 Hf
0.174 0.996 0.758 Hf
0.326 0.004 0.258 Hf
0.500 0.777 0.500 Hf
0.674 0.004 0.258 Hf
0.826 0.996 0.758 Hf
0.000 0.749 0.506 W
0.155 0.506 0.266 W
0.345 0.494 0.766 W
0.500 0.251 0.006 W
0.655 0.494 0.766 W
0.845 0.506 0.266 W

---

Hf3W (GGA-PBE, optimized geometry); excess energy over the best structure of this formula in the dataset = 0.004 eV per atom; DFT formation energy = 1.0 eV per formula unit; M_tot = 0.00 μB per formula unit; density of states at the Fermi level = 3.99 states/eV/f.u.
1.0
2.948 0.000 0.000
0.000 4.930 0.000
0.000 0.000 5.615
Hf W
3 1
Direct
0.000 0.000 0.000 Hf
0.000 0.500 0.303 Hf
0.500 0.500 0.794 Hf
0.500 0.000 0.527 W

---

HfW (GGA-PBE, optimized geometry); DFT formation energy = 0.6 eV per formula unit; M_tot = 0.00 μB per formula unit; density of states at the Fermi level = 2.35 states/eV/f.u.
1.0
-4.047 4.047 2.447
4.047 -4.047 2.447
4.047 4.047 -2.447
Hf W
4 4
Direct
0.000 0.298 0.298 Hf
0.000 0.702 0.702 Hf
0.298 0.000 0.298 Hf
0.702 0.000 0.702 Hf
0.341 0.341 0.682 W
0.341 0.659 0.000 W
0.659 0.341 0.000 W
0.659 0.659 0.318 W